A.
# Rh2Cl (PBE, relaxed)
data_Rh2Cl
_chemical_formula_sum 'Rh2 Cl1'
_symmetry_space_group_name_H-M 'P 1'
_symmetry_Int_Tables_number 1
_symmetry_space_group_name_Hall 'P 1'
_cell_length_a 2.994
_cell_length_b 2.994
_cell_length_c 5.968
_cell_angle_alpha 90.00
_cell_angle_beta 90.00
_cell_angle_gamma 120.00
loop_
_atom_site_label
_atom_site_type_symbol
_atom_site_fract_x
_atom_site_fract_y
_atom_site_fract_z
Rh1 Rh 0.333 0.667 0.162
Rh2 Rh 0.667 0.333 0.838
Cl1 Cl 0.000 0.000 0.500
# Size of the total moment = 0.284 μB/atom
# Crystal system = trigonal


B.
# Rh2Cl (PBE, relaxed)
data_Rh2Cl
_chemical_formula_sum 'Rh4 Cl2'
_symmetry_space_group_name_H-M 'P 1'
_symmetry_Int_Tables_number 1
_symmetry_space_group_name_Hall 'P 1'
_cell_length_a 6.144
_cell_length_b 6.144
_cell_length_c 7.099
_cell_angle_alpha 122.44
_cell_angle_beta 122.44
_cell_angle_gamma 26.71
loop_
_atom_site_label
_atom_site_type_symbol
_atom_site_fract_x
_atom_site_fract_y
_atom_site_fract_z
Rh1 Rh 0.000 0.000 0.000
Rh2 Rh 0.252 0.252 0.179
Rh3 Rh 0.585 0.585 0.787
Rh4 Rh 0.850 0.850 0.552
Cl1 Cl 0.213 0.213 0.667
Cl2 Cl 0.461 0.461 0.229
# Size of the total moment = 0.000 μB/atom
# Crystal system = monoclinic


B is preferred energetically. Next in line: 0.017 eV/atom higher.


A.
# Rh3Cl (PBE, relaxed)
data_Rh3Cl
_chemical_formula_sum 'Rh3 Cl1'
_symmetry_space_group_name_H-M 'P 1'
_symmetry_Int_Tables_number 1
_symmetry_space_group_name_Hall 'P 1'
_cell_length_a 2.829
_cell_length_b 2.829
_cell_length_c 8.812
_cell_angle_alpha 90.00
_cell_angle_beta 90.00
_cell_angle_gamma 121.66
loop_
_atom_site_label
_atom_site_type_symbol
_atom_site_fract_x
_atom_site_fract_y
_atom_site_fract_z
Rh1 Rh 0.000 0.000 0.000
Rh2 Rh 0.500 0.500 0.258
Rh3 Rh 0.500 0.500 0.742
Cl1 Cl 0.000 0.000 0.500
# Size of the total moment = 0.000 μB/atom
# Crystal system = orthorhombic


B.
# Rh3Cl (PBE, relaxed)
data_Rh3Cl
_chemical_formula_sum 'Rh6 Cl2'
_symmetry_space_group_name_H-M 'P 1'
_symmetry_Int_Tables_number 1
_symmetry_space_group_name_Hall 'P 1'
_cell_length_a 8.728
_cell_length_b 8.728
_cell_length_c 8.728
_cell_angle_alpha 154.55
_cell_angle_beta 154.55
_cell_angle_gamma 36.30
loop_
_atom_site_label
_atom_site_type_symbol
_atom_site_fract_x
_atom_site_fract_y
_atom_site_fract_z
Rh1 Rh 0.000 0.500 0.500
Rh2 Rh 0.112 0.112 0.000
Rh3 Rh 0.250 0.750 0.500
Rh4 Rh 0.500 0.000 0.500
Rh5 Rh 0.750 0.250 0.500
Rh6 Rh 0.888 0.888 0.000
Cl1 Cl 0.348 0.348 0.000
Cl2 Cl 0.652 0.652 0.000
# Size of the total moment = 0.001 μB/atom
# Crystal system = tetragonal


C.
# Rh3Cl (PBE, relaxed)
data_Rh3Cl
_chemical_formula_sum 'Rh3 Cl1'
_symmetry_space_group_name_H-M 'P 1'
_symmetry_Int_Tables_number 1
_symmetry_space_group_name_Hall 'P 1'
_cell_length_a 5.010
_cell_length_b 5.010
_cell_length_c 5.010
_cell_angle_alpha 116.35
_cell_angle_beta 116.35
_cell_angle_gamma 116.35
loop_
_atom_site_label
_atom_site_type_symbol
_atom_site_fract_x
_atom_site_fract_y
_atom_site_fract_z
Rh1 Rh 0.000 0.500 0.500
Rh2 Rh 0.500 0.000 0.500
Rh3 Rh 0.500 0.500 0.000
Cl1 Cl 0.000 0.000 0.000
# Size of the total moment = 0.397 μB/atom
# Crystal system = trigonal


A is preferred energetically. Next in line: 0.270 eV/atom higher.


A.
# Rh3Cl (PBE, relaxed)
data_Rh3Cl
_chemical_formula_sum 'Rh3 Cl1'
_symmetry_space_group_name_H-M 'P 1'
_symmetry_Int_Tables_number 1
_symmetry_space_group_name_Hall 'P 1'
_cell_length_a 2.804
_cell_length_b 4.461
_cell_length_c 4.792
_cell_angle_alpha 90.00
_cell_angle_beta 90.00
_cell_angle_gamma 90.00
loop_
_atom_site_label
_atom_site_type_symbol
_atom_site_fract_x
_atom_site_fract_y
_atom_site_fract_z
Rh1 Rh 0.000 0.000 0.000
Rh2 Rh 0.000 0.500 0.390
Rh3 Rh 0.500 0.500 0.893
Cl1 Cl 0.500 0.000 0.450
# Size of the total moment = 0.000 μB/atom
# Crystal system = orthorhombic


B.
# Rh3Cl (PBE, relaxed)
data_Rh3Cl
_chemical_formula_sum 'Rh3 Cl1'
_symmetry_space_group_name_H-M 'P 1'
_symmetry_Int_Tables_number 1
_symmetry_space_group_name_Hall 'P 1'
_cell_length_a 4.645
_cell_length_b 4.645
_cell_length_c 2.791
_cell_angle_alpha 90.00
_cell_angle_beta 90.00
_cell_angle_gamma 97.40
loop_
_atom_site_label
_atom_site_type_symbol
_atom_site_fract_x
_atom_site_fract_y
_atom_site_fract_z
Rh1 Rh 0.000 0.000 0.000
Rh2 Rh 0.000 0.500 0.500
Rh3 Rh 0.500 0.000 0.500
Cl1 Cl 0.500 0.500 0.000
# Size of the total moment = 0.000 μB/atom
# Crystal system = orthorhombic


A is preferred energetically. Next in line: 0.026 eV/atom higher.


A.
# Rh3Cl (PBE, relaxed)
data_Rh3Cl
_chemical_formula_sum 'Rh3 Cl1'
_symmetry_space_group_name_H-M 'P 1'
_symmetry_Int_Tables_number 1
_symmetry_space_group_name_Hall 'P 1'
_cell_length_a 3.921
_cell_length_b 3.921
_cell_length_c 3.921
_cell_angle_alpha 90.00
_cell_angle_beta 90.00
_cell_angle_gamma 90.00
loop_
_atom_site_label
_atom_site_type_symbol
_atom_site_fract_x
_atom_site_fract_y
_atom_site_fract_z
Rh1 Rh 0.000 0.000 0.500
Rh2 Rh 0.000 0.500 0.000
Rh3 Rh 0.500 0.000 0.000
Cl1 Cl 0.500 0.500 0.500
# Size of the total moment = 0.113 μB/atom
# Crystal system = cubic


B.
# Rh3Cl (PBE, relaxed)
data_Rh3Cl
_chemical_formula_sum 'Rh12 Cl4'
_symmetry_space_group_name_H-M 'P 1'
_symmetry_Int_Tables_number 1
_symmetry_space_group_name_Hall 'P 1'
_cell_length_a 6.230
_cell_length_b 6.230
_cell_length_c 7.366
_cell_angle_alpha 90.00
_cell_angle_beta 90.00
_cell_angle_gamma 120.00
loop_
_atom_site_label
_atom_site_type_symbol
_atom_site_fract_x
_atom_site_fract_y
_atom_site_fract_z
Rh1 Rh 0.000 0.500 0.000
Rh2 Rh 0.000 0.500 0.500
Rh3 Rh 0.156 0.312 0.250
Rh4 Rh 0.156 0.844 0.250
Rh5 Rh 0.312 0.156 0.750
Rh6 Rh 0.500 0.000 0.000
Rh7 Rh 0.500 0.000 0.500
Rh8 Rh 0.500 0.500 0.000
Rh9 Rh 0.500 0.500 0.500
Rh10 Rh 0.688 0.844 0.250
Rh11 Rh 0.844 0.156 0.750
Rh12 Rh 0.844 0.688 0.750
Cl1 Cl 0.000 0.000 0.000
Cl2 Cl 0.000 0.000 0.500
Cl3 Cl 0.333 0.667 0.750
Cl4 Cl 0.667 0.333 0.250
# Size of the total moment = 0.000 μB/atom
# Crystal system = hexagonal


C.
# Rh3Cl (PBE, relaxed)
data_Rh3Cl
_chemical_formula_sum 'Rh3 Cl1'
_symmetry_space_group_name_H-M 'P 1'
_symmetry_Int_Tables_number 1
_symmetry_space_group_name_Hall 'P 1'
_cell_length_a 2.865
_cell_length_b 3.467
_cell_length_c 6.503
_cell_angle_alpha 90.00
_cell_angle_beta 90.00
_cell_angle_gamma 90.00
loop_
_atom_site_label
_atom_site_type_symbol
_atom_site_fract_x
_atom_site_fract_y
_atom_site_fract_z
Rh1 Rh 0.000 0.000 0.000
Rh2 Rh 0.500 0.500 0.211
Rh3 Rh 0.500 0.500 0.789
Cl1 Cl 0.500 0.000 0.500
# Size of the total moment = 0.000 μB/atom
# Crystal system = orthorhombic


C is preferred energetically. Next in line: 0.394 eV/atom higher.


A.
# Rh3Cl (PBE, relaxed)
data_Rh3Cl
_chemical_formula_sum 'Rh3 Cl1'
_symmetry_space_group_name_H-M 'P 1'
_symmetry_Int_Tables_number 1
_symmetry_space_group_name_Hall 'P 1'
_cell_length_a 8.498
_cell_length_b 8.498
_cell_length_c 8.498
_cell_angle_alpha 19.37
_cell_angle_beta 19.37
_cell_angle_gamma 19.37
loop_
_atom_site_label
_atom_site_type_symbol
_atom_site_fract_x
_atom_site_fract_y
_atom_site_fract_z
Rh1 Rh 0.000 0.000 0.000
Rh2 Rh 0.249 0.249 0.249
Rh3 Rh 0.751 0.751 0.751
Cl1 Cl 0.500 0.500 0.500
# Size of the total moment = 0.000 μB/atom
# Crystal system = trigonal


B.
# Rh3Cl (PBE, relaxed)
data_Rh3Cl
_chemical_formula_sum 'Rh3 Cl1'
_symmetry_space_group_name_H-M 'P 1'
_symmetry_Int_Tables_number 1
_symmetry_space_group_name_Hall 'P 1'
_cell_length_a 2.864
_cell_length_b 2.864
_cell_length_c 7.350
_cell_angle_alpha 90.00
_cell_angle_beta 90.00
_cell_angle_gamma 90.00
loop_
_atom_site_label
_atom_site_type_symbol
_atom_site_fract_x
_atom_site_fract_y
_atom_site_fract_z
Rh1 Rh 0.000 0.000 0.000
Rh2 Rh 0.500 0.500 0.239
Rh3 Rh 0.500 0.500 0.761
Cl1 Cl 0.000 0.000 0.500
# Size of the total moment = 0.000 μB/atom
# Crystal system = tetragonal


A is preferred energetically. Next in line: 0.058 eV/atom higher.